First-principles (PBE) data for a geometry-optimized Tb6Pr8Th structure, as listed in Alexandria via LeMat-Bulk.

a b c (Å): 8.8259 8.8259 8.8259
angles (deg): 62.98 62.98 62.98
With the nearest neighbours (Å) after each atom.
Fractional positions:
Tb: 0.0381 0.7472 0.5953  3 Pr 3.41-3.52, 1 Th 3.54, 2 Tb 3.59
Tb: 0.2528 0.4047 0.9619  3 Pr 3.41-3.52, 1 Th 3.54, 2 Tb 3.59
Tb: 0.4047 0.9619 0.2528  3 Pr 3.41-3.52, 1 Th 3.54, 2 Tb 3.59
Tb: 0.5953 0.0381 0.7472  3 Pr 3.41-3.52, 1 Th 3.54, 2 Tb 3.59
Tb: 0.7472 0.5953 0.0381  3 Pr 3.41-3.52, 1 Th 3.54, 2 Tb 3.59
Tb: 0.9619 0.2528 0.4047  3 Pr 3.41-3.52, 1 Th 3.54, 2 Tb 3.59
Pr: 0.0783 0.0783 0.0783  4 Pr 3.31-3.47, 3 Tb 3.41
Pr: 0.2154 0.2565 0.6152  3 Tb 3.46-3.83, 5 Pr 3.47-3.53, 1 Th 3.54
Pr: 0.2565 0.6152 0.2154  3 Tb 3.46-3.83, 5 Pr 3.47-3.53, 1 Th 3.54
Pr: 0.3848 0.7846 0.7435  3 Tb 3.46-3.83, 5 Pr 3.47-3.53, 1 Th 3.54
Pr: 0.6152 0.2154 0.2565  3 Tb 3.46-3.83, 5 Pr 3.47-3.53, 1 Th 3.54
Pr: 0.7435 0.3848 0.7846  3 Tb 3.46-3.83, 5 Pr 3.47-3.53, 1 Th 3.54
Pr: 0.7846 0.7435 0.3848  3 Tb 3.46-3.83, 5 Pr 3.47-3.53, 1 Th 3.54
Pr: 0.9217 0.9217 0.9217  4 Pr 3.31-3.47, 3 Tb 3.41
Th: 0.5000 0.5000 0.5000  6 Tb 3.54, 6 Pr 3.54

Output
calculated volume = 34.6 A^3/atom


First-principles (PBE) data for a geometry-optimized Tb2PrTh structure, as listed in Alexandria via LeMat-Bulk.

a b c (Å): 3.6267 3.6267 11.5632
angles (deg): 90.03 90.03 60.19
With the nearest neighbours (Å) after each atom.
Fractional positions:
Tb: 0.1661 0.1661 0.2419  3 Th 3.49-3.50, 6 Tb 3.63-3.64, 3 Pr 3.65
Tb: 0.8339 0.8339 0.7581  3 Th 3.49-3.50, 6 Tb 3.63-3.64, 3 Pr 3.65
Pr: 0.5000 0.5000 0.5000  6 Pr 3.63-3.64, 6 Tb 3.65
Th: 0.5000 0.5000 0.0000  6 Tb 3.49-3.50, 6 Th 3.63-3.64

Output
energy relative to the lowest polymorph listed for this composition = 0.0 meV per atom
calculated volume = 33.0 A^3/atom


First-principles (PBE) data for a geometry-optimized Tb4Pr2Th3 structure, as listed in Alexandria via LeMat-Bulk.

a b c (Å): 3.5866 3.5866 26.8984
angles (deg): 90.00 90.00 120.00
With the nearest neighbours (Å) after each atom.
Fractional positions:
Tb: 0.0000 0.0000 0.0000  1 Pr 3.43, 3 Th 3.50, 6 Tb 3.59
Tb: 0.0000 0.0000 0.2149  9 Tb 3.55-3.59, 3 Th 3.61
Tb: 0.3333 0.6667 0.3219  9 Tb 3.55-3.59, 3 Th 3.58
Tb: 0.3333 0.6667 0.5378  3 Th 3.55, 6 Tb 3.59, 3 Pr 3.68
Pr: 0.0000 0.0000 0.6508  6 Pr 3.59, 3 Th 3.65, 3 Tb 3.68
Pr: 0.0000 0.0000 0.8726  1 Tb 3.43, 6 Pr 3.59, 3 Th 3.61
Th: 0.0000 0.0000 0.4305  6 Tb 3.55-3.58, 6 Th 3.59
Th: 0.3333 0.6667 0.1051  6 Tb 3.50-3.61, 6 Th 3.59
Th: 0.3333 0.6667 0.7627  6 Th 3.59, 6 Pr 3.61-3.65

Output
calculated volume = 33.3 A^3/atom


First-principles (PBE) data for a geometry-optimized Tb3Pr8Th2 structure, as listed in Alexandria via LeMat-Bulk.

a b c (Å): 11.1860 11.1860 5.8219
angles (deg): 90.04 90.04 39.46
With the nearest neighbours (Å) after each atom.
Fractional positions:
Tb: 0.0000 0.0000 0.0000  4 Pr 3.14
Tb: 0.2778 0.7222 0.5000  3 Tb 3.36-3.59, 6 Pr 3.54-3.67
Tb: 0.7222 0.2778 0.5000  3 Tb 3.36-3.59, 6 Pr 3.54-3.67
Pr: 0.1352 0.1352 0.4993  2 Tb 3.54, 2 Th 3.69, 6 Pr 3.70-3.86
Pr: 0.1859 0.6022 0.0003  1 Tb 3.14, 1 Pr 3.14
Pr: 0.3261 0.3261 0.4999  2 Th 3.40, 4 Pr 3.60-3.61
Pr: 0.3978 0.8141 0.9997  1 Tb 3.14, 1 Pr 3.14
Pr: 0.6022 0.1859 0.0003  1 Tb 3.14, 1 Pr 3.14
Pr: 0.6739 0.6739 0.5001  2 Th 3.40, 4 Pr 3.60-3.61
Pr: 0.8141 0.3978 0.9997  1 Tb 3.14, 1 Pr 3.14
Pr: 0.8648 0.8648 0.5007  2 Tb 3.54, 2 Th 3.69, 6 Pr 3.70-3.86
Th: 0.2428 0.2428 0.9996  8 Pr 3.40-3.69, 2 Th 3.79
Th: 0.7572 0.7572 0.0004  8 Pr 3.40-3.69, 2 Th 3.79

Output
calculated volume = 35.6 A^3/atom


First-principles (PBE) data for a geometry-optimized Tb9PrTh2 structure, as listed in Alexandria via LeMat-Bulk.

a b c (Å): 5.0531 5.0531 15.1606
angles (deg): 90.00 90.00 90.00
With the nearest neighbours (Å) after each atom.
Fractional positions:
Tb: 0.0000 0.0000 0.0000  4 Pr 3.57, 8 Tb 3.62
Tb: 0.0000 0.0000 0.3342  8 Tb 3.54-3.56, 4 Th 3.57
Tb: 0.0000 0.0000 0.6658  8 Tb 3.54-3.56, 4 Th 3.57
Tb: 0.0000 0.5000 0.1710  8 Tb 3.54-3.62, 2 Th 3.54, 2 Pr 3.62
Tb: 0.0000 0.5000 0.5000  4 Th 3.56, 8 Tb 3.56-3.57
Tb: 0.0000 0.5000 0.8290  8 Tb 3.54-3.62, 2 Th 3.54, 2 Pr 3.62
Tb: 0.5000 0.0000 0.1710  8 Tb 3.54-3.62, 2 Th 3.54, 2 Pr 3.62
Tb: 0.5000 0.0000 0.5000  4 Th 3.56, 8 Tb 3.56-3.57
Tb: 0.5000 0.0000 0.8290  8 Tb 3.54-3.62, 2 Th 3.54, 2 Pr 3.62
Pr: 0.5000 0.5000 0.0000  12 Tb 3.57-3.62
Th: 0.5000 0.5000 0.3346  12 Tb 3.54-3.57
Th: 0.5000 0.5000 0.6654  12 Tb 3.54-3.57

Output
energy relative to the lowest polymorph listed for this composition = 0.0 meV per atom
calculated volume = 32.3 A^3/atom


First-principles (PBE) data for a geometry-optimized Tb3Pr4Th structure, as listed in Alexandria via LeMat-Bulk.

a b c (Å): 12.0485 12.0485 6.9211
angles (deg): 106.45 106.45 16.67
With the nearest neighbours (Å) after each atom.
Fractional positions:
Tb: 0.0000 0.0000 0.0000  2 Pr 3.29, 4 Tb 3.32-3.49
Tb: 0.1214 0.1214 0.3833  5 Pr 3.31-3.64, 3 Tb 3.32-3.49, 2 Th 3.66
Tb: 0.8786 0.8786 0.6167  5 Pr 3.31-3.64, 3 Tb 3.32-3.49, 2 Th 3.66
Pr: 0.1209 0.1209 0.8613  3 Tb 3.29-3.61, 3 Pr 3.49-3.64, 2 Th 3.67
Pr: 0.2581 0.2581 0.2651  7 Pr 3.49-3.81, 3 Tb 3.58-3.64
Pr: 0.7419 0.7419 0.7349  7 Pr 3.49-3.81, 3 Tb 3.58-3.64
Pr: 0.8791 0.8791 0.1387  3 Tb 3.29-3.61, 3 Pr 3.49-3.64, 2 Th 3.67
Th: 0.5000 0.5000 0.5000  2 Th 3.49, 8 Tb 3.66-3.88, 4 Pr 3.67

Output
energy relative to the lowest polymorph listed for this composition = 134.3 meV per atom
calculated volume = 34.5 A^3/atom


First-principles (PBE) data for a geometry-optimized Tb2Pr7Th2 structure, as listed in Alexandria via LeMat-Bulk.

a b c (Å): 8.1788 8.1788 6.2210
angles (deg): 105.27 105.27 91.12
With the nearest neighbours (Å) after each atom.
Fractional positions:
Tb: 0.2246 0.7754 0.0000  6 Pr 3.38-3.64, 2 Th 3.66
Tb: 0.7754 0.2246 0.0000  6 Pr 3.38-3.64, 2 Th 3.66
Pr: 0.0000 0.0000 0.5000  6 Pr 3.37-3.63
Pr: 0.0626 0.5848 0.3296  3 Pr 3.18-3.39, 2 Tb 3.38-3.52
Pr: 0.2334 0.2334 0.0873  5 Pr 3.39-3.70, 2 Th 3.60-3.63, 2 Tb 3.64
Pr: 0.4152 0.9374 0.6704  3 Pr 3.18-3.39, 2 Tb 3.38-3.52
Pr: 0.5848 0.0626 0.3296  3 Pr 3.18-3.39, 2 Tb 3.38-3.52
Pr: 0.7666 0.7666 0.9127  5 Pr 3.39-3.70, 2 Th 3.60-3.63, 2 Tb 3.64
Pr: 0.9374 0.4152 0.6704  3 Pr 3.18-3.39, 2 Tb 3.38-3.52
Th: 0.4251 0.4251 0.6981  2 Th 3.49, 5 Pr 3.60-3.83, 2 Tb 3.66
Th: 0.5749 0.5749 0.3019  2 Th 3.49, 5 Pr 3.60-3.83, 2 Tb 3.66

Output
energy relative to the lowest polymorph listed for this composition = 0.0 meV per atom
calculated volume = 35.0 A^3/atom


First-principles (PBE) data for a geometry-optimized TbPr4Th3 structure, as listed in Alexandria via LeMat-Bulk.

a b c (Å): 5.1137 10.2524 10.3987
angles (deg): 90.00 90.00 90.00
With the nearest neighbours (Å) after each atom.
Fractional positions:
Tb: 0.2500 0.2500 0.1166  8 Th 3.51-3.64, 4 Pr 3.64-3.66
Tb: 0.7500 0.7500 0.8834  8 Th 3.51-3.64, 4 Pr 3.64-3.66
Pr: 0.2500 0.2500 0.6393  4 Th 3.59-3.60, 8 Pr 3.61-3.85
Pr: 0.2500 0.5008 0.3642  8 Pr 3.61-3.85, 3 Th 3.62-3.63, 1 Tb 3.64
Pr: 0.2500 0.7500 0.6319  8 Pr 3.63-3.81, 2 Tb 3.66, 2 Th 3.68
Pr: 0.2500 0.9992 0.3642  8 Pr 3.61-3.85, 3 Th 3.62-3.63, 1 Tb 3.64
Pr: 0.7500 0.0008 0.6358  8 Pr 3.61-3.85, 3 Th 3.62-3.63, 1 Tb 3.64
Pr: 0.7500 0.2500 0.3681  8 Pr 3.63-3.81, 2 Tb 3.66, 2 Th 3.68
Pr: 0.7500 0.4992 0.6358  8 Pr 3.61-3.85, 3 Th 3.62-3.63, 1 Tb 3.64
Pr: 0.7500 0.7500 0.3607  4 Th 3.59-3.60, 8 Pr 3.61-3.85
Th: 0.2500 0.0025 0.8834  3 Tb 3.51-3.64, 5 Th 3.52-3.60, 4 Pr 3.59-3.68
Th: 0.2500 0.4975 0.8834  3 Tb 3.51-3.64, 5 Th 3.52-3.60, 4 Pr 3.59-3.68
Th: 0.2500 0.7500 0.1175  2 Tb 3.53, 6 Th 3.55-3.60, 4 Pr 3.60-3.62
Th: 0.7500 0.2500 0.8825  2 Tb 3.53, 6 Th 3.55-3.60, 4 Pr 3.60-3.62
Th: 0.7500 0.5025 0.1166  3 Tb 3.51-3.64, 5 Th 3.52-3.60, 4 Pr 3.59-3.68
Th: 0.7500 0.9975 0.1166  3 Tb 3.51-3.64, 5 Th 3.52-3.60, 4 Pr 3.59-3.68

Output
calculated volume = 34.1 A^3/atom


First-principles (PBE) data for a geometry-optimized Tb5Pr4Th structure, as listed in Alexandria via LeMat-Bulk.

a b c (Å): 3.6378 3.6378 25.5122
angles (deg): 90.00 90.00 90.00
With the nearest neighbours (Å) after each atom.
Fractional positions:
Tb: 0.0000 0.0000 0.0000  8 Pr 3.63, 4 Tb 3.64
Tb: 0.0000 0.0000 0.2015  8 Pr 3.63-3.64, 4 Tb 3.64
Tb: 0.0000 0.0000 0.4058  4 Th 3.52, 4 Tb 3.64, 4 Pr 3.69
Tb: 0.0000 0.0000 0.5942  4 Th 3.52, 4 Tb 3.64, 4 Pr 3.69
Tb: 0.0000 0.0000 0.7985  8 Pr 3.63-3.64, 4 Tb 3.64
Pr: 0.5000 0.5000 0.1004  8 Tb 3.63-3.64, 4 Pr 3.64
Pr: 0.5000 0.5000 0.3020  8 Tb 3.63-3.69, 4 Pr 3.64
Pr: 0.5000 0.5000 0.6980  8 Tb 3.63-3.69, 4 Pr 3.64
Pr: 0.5000 0.5000 0.8996  8 Tb 3.63-3.64, 4 Pr 3.64
Th: 0.5000 0.5000 0.5000  8 Tb 3.52, 4 Th 3.64

Output
energy relative to the lowest polymorph listed for this composition = 0.0 meV per atom
calculated volume = 33.8 A^3/atom


First-principles (PBE) data for a geometry-optimized Tb12Pr5Th2 structure, as listed in Alexandria via LeMat-Bulk.

a b c (Å): 9.1827 9.1827 8.7458
angles (deg): 92.46 92.46 61.64
With the nearest neighbours (Å) after each atom.
Fractional positions:
Tb: 0.0558 0.0558 0.3344  2 Pr 3.40-3.67, 2 Th 3.41, 7 Tb 3.46-3.65
Tb: 0.0620 0.6761 0.3235  5 Tb 3.46-3.65, 4 Pr 3.46-3.83, 1 Th 3.59
Tb: 0.1763 0.5327 0.7585  4 Tb 3.35-3.74, 1 Th 3.36, 3 Pr 3.53-3.71
Tb: 0.3239 0.9380 0.6765  5 Tb 3.46-3.65, 4 Pr 3.46-3.83, 1 Th 3.59
Tb: 0.4297 0.4297 0.1230  3 Tb 3.17-3.54, 1 Pr 3.43, 2 Th 3.48
Tb: 0.4673 0.8237 0.2415  4 Tb 3.35-3.74, 1 Th 3.36, 3 Pr 3.53-3.71
Tb: 0.5327 0.1763 0.7585  4 Tb 3.35-3.74, 1 Th 3.36, 3 Pr 3.53-3.71
Tb: 0.5703 0.5703 0.8770  3 Tb 3.17-3.54, 1 Pr 3.43, 2 Th 3.48
Tb: 0.6761 0.0620 0.3235  5 Tb 3.46-3.65, 4 Pr 3.46-3.83, 1 Th 3.59
Tb: 0.8237 0.4673 0.2415  4 Tb 3.35-3.74, 1 Th 3.36, 3 Pr 3.53-3.71
Tb: 0.9380 0.3239 0.6765  5 Tb 3.46-3.65, 4 Pr 3.46-3.83, 1 Th 3.59
Tb: 0.9442 0.9442 0.6656  2 Pr 3.40-3.67, 2 Th 3.41, 7 Tb 3.46-3.65
Pr: 0.2078 0.2078 0.0295  8 Tb 3.55-3.79, 1 Pr 3.60, 2 Th 3.64
Pr: 0.2671 0.2671 0.4324  7 Tb 3.40-3.59, 2 Pr 3.60-3.69
Pr: 0.5000 0.5000 0.5000  10 Tb 3.43-3.83, 2 Pr 3.69
Pr: 0.7329 0.7329 0.5676  7 Tb 3.40-3.59, 2 Pr 3.60-3.69
Pr: 0.7922 0.7922 0.9705  8 Tb 3.55-3.79, 1 Pr 3.60, 2 Th 3.64
Th: 0.1701 0.8299 0.0000  1 Th 3.20, 6 Tb 3.36-3.48
Th: 0.8299 0.1701 0.0000  1 Th 3.20, 6 Tb 3.36-3.48

Output
calculated volume = 34.1 A^3/atom


First-principles (PBE) data for a geometry-optimized Tb2Pr3Th structure, as listed in Alexandria via LeMat-Bulk.

a b c (Å): 8.1973 8.1973 6.5935
angles (deg): 90.00 90.00 108.87
With the nearest neighbours (Å) after each atom.
Fractional positions:
Tb: 0.1060 0.2560 0.0000  5 Pr 3.38-3.67, 1 Tb 3.45, 1 Th 3.77
Tb: 0.2560 0.1060 0.5000  5 Pr 3.38-3.67, 1 Tb 3.45, 1 Th 3.77
Tb: 0.7440 0.8940 0.0000  5 Pr 3.38-3.67, 1 Tb 3.45, 1 Th 3.77
Tb: 0.8940 0.7440 0.5000  5 Pr 3.38-3.67, 1 Tb 3.45, 1 Th 3.77
Pr: 0.0057 0.3619 0.4834  2 Th 3.28-3.31, 3 Tb 3.38-3.54, 1 Pr 3.50
Pr: 0.3619 0.0057 0.9834  2 Th 3.28-3.31, 3 Tb 3.38-3.54, 1 Pr 3.50
Pr: 0.4155 0.5845 0.7588  3 Th 3.40-3.60, 2 Tb 3.43, 2 Pr 3.73
Pr: 0.5845 0.4155 0.2588  3 Th 3.40-3.60, 2 Tb 3.43, 2 Pr 3.73
Pr: 0.6381 0.9943 0.4834  2 Th 3.28-3.31, 3 Tb 3.38-3.54, 1 Pr 3.50
Pr: 0.9943 0.6381 0.9834  2 Th 3.28-3.31, 3 Tb 3.38-3.54, 1 Pr 3.50
Th: 0.3276 0.6724 0.2755  7 Pr 3.28-3.60
Th: 0.6724 0.3276 0.7755  7 Pr 3.28-3.60

Output
energy relative to the lowest polymorph listed for this composition = 195.9 meV per atom
calculated volume = 34.9 A^3/atom


First-principles (PBE) data for a geometry-optimized Tb6PrTh12 structure, as listed in Alexandria via LeMat-Bulk.

a b c (Å): 8.7483 8.7483 8.7483
angles (deg): 99.54 99.54 99.54
With the nearest neighbours (Å) after each atom.
Fractional positions:
Tb: 0.1589 0.6000 0.6000  1 Tb 3.10, 2 Th 3.43, 1 Pr 3.45
Tb: 0.4000 0.4000 0.8411  1 Tb 3.10, 2 Th 3.43, 1 Pr 3.45
Tb: 0.4000 0.8411 0.4000  1 Tb 3.10, 2 Th 3.43, 1 Pr 3.45
Tb: 0.6000 0.1589 0.6000  1 Tb 3.10, 2 Th 3.43, 1 Pr 3.45
Tb: 0.6000 0.6000 0.1589  1 Tb 3.10, 2 Th 3.43, 1 Pr 3.45
Tb: 0.8411 0.4000 0.4000  1 Tb 3.10, 2 Th 3.43, 1 Pr 3.45
Pr: 0.5000 0.5000 0.5000  6 Tb 3.45, 6 Th 3.84
Th: 0.0000 0.2528 0.7472  6 Th 3.38-3.51, 4 Tb 3.43-3.65
Th: 0.0000 0.7472 0.2528  6 Th 3.38-3.51, 4 Tb 3.43-3.65
Th: 0.1490 0.1490 0.4168  6 Th 3.41-3.58, 2 Tb 3.75
Th: 0.1490 0.4168 0.1490  6 Th 3.41-3.58, 2 Tb 3.75
Th: 0.2528 0.0000 0.7472  6 Th 3.38-3.51, 4 Tb 3.43-3.65
Th: 0.2528 0.7472 0.0000  6 Th 3.38-3.51, 4 Tb 3.43-3.65
Th: 0.4168 0.1490 0.1490  6 Th 3.41-3.58, 2 Tb 3.75
Th: 0.5832 0.8510 0.8510  6 Th 3.41-3.58, 2 Tb 3.75
Th: 0.7472 0.0000 0.2528  6 Th 3.38-3.51, 4 Tb 3.43-3.65
Th: 0.7472 0.2528 0.0000  6 Th 3.38-3.51, 4 Tb 3.43-3.65
Th: 0.8510 0.5832 0.8510  6 Th 3.41-3.58, 2 Tb 3.75
Th: 0.8510 0.8510 0.5832  6 Th 3.41-3.58, 2 Tb 3.75

Output
calculated volume = 33.6 A^3/atom


Taking the records one at a time from the top gives calculated total energy values of -4.775 -5.366 -5.512 -4.904 -5.078 -4.888 -5.057 -5.713 -4.953 -4.822 -4.929 -6.153 eV per atom.